[1]
# CaY2Cu (PBE, optimized geometry)
# * relative energy among the computed polymorphs: 225.8 meV/atom
# * formation enthalpy at 0 K: 173 meV per atom
# * DOS(E_F): 0.64 states/eV/atom
# * ρ: 4.3 g/cm³
data_CaY2Cu
_chemical_formula_sum 'Ca1 Y2 Cu1'
_symmetry_space_group_name_H-M 'P 4/m m m'
_symmetry_Int_Tables_number 123
_symmetry_space_group_name_Hall '-P 4 2'
_cell_length_a 5.124
_cell_length_b 5.124
_cell_length_c 4.115
_cell_angle_alpha 90.00
_cell_angle_beta 90.00
_cell_angle_gamma 90.00
loop_
_atom_site_label
_atom_site_type_symbol
_atom_site_fract_x
_atom_site_fract_y
_atom_site_fract_z
Ca1 Ca 0.000 0.000 0.000
Y1 Y 0.000 0.500 0.500
Cu1 Cu 0.500 0.500 0.000

[2]
# CaYCu4 (PBE, optimized geometry)
# * relative energy among the computed polymorphs: 0.0 meV/atom
# * formation enthalpy at 0 K: -171 meV per atom
# * DOS(E_F): 0.67 states/eV/atom
# * ρ: 5.5 g/cm³
data_CaYCu4
_chemical_formula_sum 'Ca2 Y2 Cu8'
_symmetry_space_group_name_H-M 'I m m m'
_symmetry_Int_Tables_number 71
_symmetry_space_group_name_Hall '-I 2 2'
_cell_length_a 4.194
_cell_length_b 7.396
_cell_length_c 7.406
_cell_angle_alpha 90.00
_cell_angle_beta 90.00
_cell_angle_gamma 90.00
loop_
_atom_site_label
_atom_site_type_symbol
_atom_site_fract_x
_atom_site_fract_y
_atom_site_fract_z
Ca1 Ca 0.000 0.000 0.000
Y1 Y 0.000 0.000 0.500
Cu1 Cu 0.000 0.334 0.240

[3]
# CaY2Cu (PBE, optimized geometry)
# * relative energy among the computed polymorphs: 84.6 meV/atom
# * formation enthalpy at 0 K: 32 meV per atom
# * DOS(E_F): 1.35 states/eV/atom
# * ρ: 4.1 g/cm³
data_CaY2Cu
_chemical_formula_sum 'Ca2 Y4 Cu2'
_symmetry_space_group_name_H-M 'C 1 m 1'
_symmetry_Int_Tables_number 8
_symmetry_space_group_name_Hall 'C -2y'
_cell_length_a 12.670
_cell_length_b 3.649
_cell_length_c 5.386
_cell_angle_alpha 90.00
_cell_angle_beta 115.13
_cell_angle_gamma 90.00
loop_
_atom_site_label
_atom_site_type_symbol
_atom_site_fract_x
_atom_site_fract_y
_atom_site_fract_z
Ca1 Ca 0.000 0.000 0.000
Y1 Y 0.104 0.500 0.605
Y2 Y 0.300 0.500 0.300
Cu1 Cu 0.293 0.000 0.795

[4]
# Ca2YCu2 (PBE, optimized geometry)
# * relative energy among the computed polymorphs: 0.0 meV/atom
# * formation enthalpy at 0 K: -96 meV per atom
# * DOS(E_F): 0.53 states/eV/atom
# * ρ: 3.9 g/cm³
data_Ca2YCu2
_chemical_formula_sum 'Ca4 Y2 Cu4'
_symmetry_space_group_name_H-M 'P 4/m b m'
_symmetry_Int_Tables_number 127
_symmetry_space_group_name_Hall '-P 4 2ab'
_cell_length_a 7.534
_cell_length_b 7.534
_cell_length_c 4.458
_cell_angle_alpha 90.00
_cell_angle_beta 90.00
_cell_angle_gamma 90.00
loop_
_atom_site_label
_atom_site_type_symbol
_atom_site_fract_x
_atom_site_fract_y
_atom_site_fract_z
Ca1 Ca 0.170 0.330 0.000
Y1 Y 0.000 0.000 0.500
Cu1 Cu 0.119 0.619 0.500

[5]
# CaYCu4 (PBE, optimized geometry)
# * relative energy among the computed polymorphs: 51.7 meV/atom
# * formation enthalpy at 0 K: -120 meV per atom
# * DOS(E_F): 1.10 states/eV/atom
# * ρ: 6.1 g/cm³
data_CaYCu4
_chemical_formula_sum 'Ca4 Y4 Cu16'
_symmetry_space_group_name_H-M 'F -4 3 m'
_symmetry_Int_Tables_number 216
_symmetry_space_group_name_Hall 'F -4 2 3'
_cell_length_a 7.479
_cell_length_b 7.479
_cell_length_c 7.479
_cell_angle_alpha 90.00
_cell_angle_beta 90.00
_cell_angle_gamma 90.00
loop_
_atom_site_label
_atom_site_type_symbol
_atom_site_fract_x
_atom_site_fract_y
_atom_site_fract_z
Ca1 Ca 0.000 0.000 0.000
Y1 Y 0.250 0.250 0.750
Cu1 Cu 0.125 0.125 0.375

[6]
# CaY2Cu (PBE, optimized geometry)
# * relative energy among the computed polymorphs: 330.3 meV/atom
# * formation enthalpy at 0 K: 278 meV per atom
# * DOS(E_F): 1.21 states/eV/atom
# * ρ: 4.2 g/cm³
data_CaY2Cu
_chemical_formula_sum 'Ca2 Y4 Cu2'
_symmetry_space_group_name_H-M 'C 1 2/m 1'
_symmetry_Int_Tables_number 12
_symmetry_space_group_name_Hall '-C 2y'
_cell_length_a 6.432
_cell_length_b 11.102
_cell_length_c 3.477
_cell_angle_alpha 90.00
_cell_angle_beta 115.06
_cell_angle_gamma 90.00
loop_
_atom_site_label
_atom_site_type_symbol
_atom_site_fract_x
_atom_site_fract_y
_atom_site_fract_z
Ca1 Ca 0.000 0.000 0.000
Y1 Y 0.250 0.250 0.500
Cu1 Cu 0.000 0.500 0.000